Compound: KCa2GaF8
Source: Alexandria
Functional: PBE-GGA
Structure: relaxed

Values from the calculation:
Crystal system: monoclinic
Formation energy from raw total energies: -3297 meV per atom
Total magnetic moment: 0.0 Bohr magnetons per cell
Electronic total energy: -5.222 eV/atom

a = 5.129 Å, b = 7.223 Å, c = 5.151 Å
α = 90.00°, β = 91.48°, γ = 90.00°
Atoms (fractional coordinates):
1 K 0.000 0.000 0.000
2 Ca 0.500 0.256 0.500
3 Ca 0.500 0.744 0.500
4 Ga 0.000 0.500 0.000
5 F 0.190 0.312 0.186
6 F 0.190 0.688 0.186
7 F 0.271 0.500 0.726
8 F 0.324 0.000 0.666
9 F 0.676 0.000 0.334
10 F 0.729 0.500 0.274
11 F 0.810 0.312 0.814
12 F 0.810 0.688 0.814